A plane-wave DFT calculation with PBE with a Hubbard U was carried out for a geometry-optimized ReW2O8 structure.

Computed properties:
Energy relative to the lowest polymorph listed for this composition: 0.421 eV per atom
Crystal system: monoclinic

Lattice parameters (Å, degrees): 7.8551 5.9183 5.9183 48.20 74.50 74.50
Positions (direct):
Re (0.0000, 0.0000, 0.0000)
W (0.6755, 0.2246, 0.2246)
W (0.3245, 0.7754, 0.7754)
O (0.1570, 0.1394, 0.6363)
O (0.1570, 0.6363, 0.1394)
O (0.8430, 0.8606, 0.3637)
O (0.2989, 0.6211, 0.6211)
O (0.8430, 0.3637, 0.8606)
O (0.4411, 0.2224, 0.2224)
O (0.5589, 0.7776, 0.7776)
O (0.7011, 0.3789, 0.3789)